No. 1
Material: KIrCl2
Method: DFT, GGA-PBE
State: relaxed

Output
V	92.75	Å³/cell
formation energy without anion corrections	-0.2235	eV per atom

Cell: 6.626 6.626 6.626 Å, 36.63 36.63 36.63°
Fractional coordinates of all 4 atoms:
K: 0.000 0.000 0.000
Ir: 0.500 0.500 0.500
Cl: 0.227 0.227 0.227
Cl: 0.773 0.773 0.773

***

No. 2
Material: KIrCl
Method: DFT, GGA-PBE
State: relaxed

Output
V	70.82	Å³/cell
formation energy without anion corrections	0.0925	eV per atom
N(E_F)	2.4	states/eV per cell

Cell: 4.411 3.056 5.582 Å, 90.00 109.79 90.00°
Fractional coordinates of all 3 atoms:
K: 0.000 0.000 0.000
Ir: 0.685 0.500 0.432
Cl: 0.233 0.500 0.542

***

No. 3
Material: K2IrCl
Method: DFT, GGA-PBE
State: relaxed

Output
V	98.36	Å³/cell
formation energy without anion corrections	-0.1379	eV per atom
N(E_F)	2.3	states/eV per cell

Cell: 3.278 3.278 9.153 Å, 90.00 90.00 90.00°
Fractional coordinates of all 4 atoms:
K: 0.000 0.000 0.222
K: 0.000 0.000 0.778
Ir: 0.500 0.500 0.500
Cl: 0.500 0.500 0.000

***

No. 4
Material: KIrCl
Method: DFT, GGA-PBE
State: relaxed

Output
V	192.40	Å³/cell
formation energy without anion corrections	-0.4096	eV per atom
N(E_F)	1.3	states/eV per cell

Cell: 5.612 5.612 9.845 Å, 112.74 112.74 43.01°
Fractional coordinates of all 6 atoms:
K: 0.000 0.000 0.000
K: 0.061 0.061 0.597
Ir: 0.400 0.400 0.243
Ir: 0.793 0.793 0.245
Cl: 0.425 0.425 0.742
Cl: 0.645 0.645 0.369

***

No. 5
Material: K2IrCl
Method: DFT, GGA-PBE
State: relaxed

Output
V	105.50	Å³/cell
formation energy without anion corrections	-0.0332	eV per atom
N(E_F)	2.4	states/eV per cell

Cell: 9.913 9.913 9.913 Å, 160.79 160.77 27.31°
Fractional coordinates of all 4 atoms:
K: 0.000 0.000 0.000
K: 0.726 0.226 0.500
Ir: 0.375 0.375 0.000
Cl: 0.129 0.629 0.500

***

No. 6
Material: KIr4Cl
Method: DFT, GGA-PBE
State: relaxed

Output
V	112.89	Å³/cell
formation energy without anion corrections	0.9364	eV per atom
N(E_F)	5.6	states/eV per cell

Cell: 5.425 5.425 5.425 Å, 60.00 60.00 60.00°
Fractional coordinates of all 6 atoms:
K: 0.000 0.000 0.000
Ir: 0.375 0.375 0.375
Ir: 0.375 0.375 0.874
Ir: 0.375 0.874 0.375
Ir: 0.874 0.375 0.375
Cl: 0.750 0.750 0.750

***

No. 7
Material: K2IrCl5
Method: DFT, GGA-PBE
State: relaxed

Output
V	875.96	Å³/cell
formation energy without anion corrections	-1.1736	eV per atom

Cell: 8.958 6.888 14.197 Å, 90.00 90.00 90.00°
Fractional coordinates of all 32 atoms:
K: 0.052 0.250 0.194
K: 0.178 0.750 0.414
K: 0.322 0.250 0.914
K: 0.448 0.750 0.694
K: 0.552 0.250 0.306
K: 0.678 0.750 0.086
K: 0.822 0.250 0.586
K: 0.948 0.750 0.806
Ir: 0.178 0.750 0.054
Ir: 0.322 0.250 0.554
Ir: 0.678 0.750 0.446
Ir: 0.822 0.250 0.946
Cl: 0.000 0.000 0.000
Cl: 0.000 0.500 0.000
Cl: 0.057 0.750 0.201
Cl: 0.159 0.011 0.604
Cl: 0.159 0.489 0.604
Cl: 0.214 0.250 0.399
Cl: 0.286 0.750 0.899
Cl: 0.341 0.511 0.104
Cl: 0.341 0.989 0.104
Cl: 0.443 0.250 0.701
Cl: 0.500 0.000 0.500
Cl: 0.500 0.500 0.500
Cl: 0.557 0.750 0.299
Cl: 0.659 0.011 0.896
Cl: 0.659 0.489 0.896
Cl: 0.714 0.250 0.101
Cl: 0.786 0.750 0.601
Cl: 0.841 0.511 0.396
Cl: 0.841 0.989 0.396
Cl: 0.943 0.250 0.799

***

No. 8
Material: K3IrCl7
Method: DFT, GGA-PBE
State: relaxed

Output
V	338.46	Å³/cell
formation energy without anion corrections	-1.2453	eV per atom
N(E_F)	8.2	states/eV per cell

Cell: 6.739 6.739 7.724 Å, 99.98 99.98 94.04°
Fractional coordinates of all 11 atoms:
K: 0.000 0.000 0.000
K: 0.254 0.698 0.447
K: 0.698 0.254 0.447
Ir: 0.515 0.515 0.955
Cl: 0.093 0.093 0.408
Cl: 0.193 0.534 0.795
Cl: 0.363 0.363 0.158
Cl: 0.502 0.837 0.127
Cl: 0.534 0.193 0.795
Cl: 0.662 0.662 0.741
Cl: 0.837 0.502 0.127

***

Result set for magnetization: 2.0, 0.0, 1.1, 0.0, 1.0, 5.5, 0.0, 1.1 μB/cell, one per record in the order listed.
Result set for E_tot: -3.636, -3.843, -3.364, -4.345, -3.259, -5.462, -3.710, -3.525 eV per atom, one per record in the order listed.